Record 1
Below is PSF3 after structural relaxation, with properties calculated at the PBE-GGA level.

The space group is P2_1/c (No. 14) and the conventional cell measures 8.820, 6.209 and 9.985 Å, with angles of 90.00, 122.73 and 90.00 degrees. Symmetry generates all atoms from P at (0.232, 0.203, 0.001), S at (0.276, 0.578, 0.583), F at (0.065, 0.244, 0.829), F at (0.198, 0.116, 0.592) and F at (0.381, 0.184, 0.487).

The value obtained for the formation energy from raw total energies is -1.945 eV/atom. The calculation puts the calculated total energy at -4.98 eV/atom.

Record 2
Below is PS2F after structural relaxation, with properties calculated at the PBE-GGA level.

The space group is I-42d (No. 122) and the conventional cell measures 6.139, 6.139 and 7.006 Å, with angles of 90.00, 90.00 and 90.00 degrees. Symmetry generates all atoms from P at (0.000, 0.000, 0.000), S at (0.197, 0.250, 0.125) and F at (0.000, 0.000, 0.500).

The value obtained for the formation energy from raw total energies is -0.208 eV/atom. The calculation puts the calculated total energy at -4.09 eV/atom.

Record 3
Below is PSF2 after structural relaxation, with properties calculated at the PBE-GGA level.

The space group is I-42d (No. 122) and the conventional cell measures 3.604, 3.604 and 15.463 Å, with angles of 90.00, 90.00 and 90.00 degrees. Symmetry generates all atoms from P at (0.000, 0.000, 0.000), S at (0.000, 0.000, 0.500) and F at (0.225, 0.250, 0.125).

The value obtained for the formation energy from raw total energies is -0.335 eV/atom. The calculation puts the calculated total energy at -3.65 eV/atom.

We obtain calculated volume values of 23.0 16.5 12.6 Å³/atom for the records listed above, in that order.
We obtain Fermi-level density of states values of 0.0 0.0 1.5 states/eV/f.u. for the records listed above, in that order.
We obtain spin magnetization values of 0.06 0.00 0.39 μB/f.u. for the records listed above, in that order.